Here is CdIn2Cu at its PBEsol-relaxed geometry from Alexandria via LeMat-Bulk. Energies are from meta-GGA SCAN.

CIF file:
```
data_CdIn2Cu
_chemical_formula_sum 'Cd1 In2 Cu1'
_symmetry_space_group_name_H-M 'P 1'
_symmetry_Int_Tables_number 1
_cell_length_a 3.093
_cell_length_b 3.093
_cell_length_c 8.433
_cell_angle_alpha 90.00
_cell_angle_beta 90.00
_cell_angle_gamma 90.00
loop_
_symmetry_equiv_pos_as_xyz
'x,y,z'
loop_
_atom_site_label
_atom_site_fract_x
_atom_site_fract_y
_atom_site_fract_z
Cd1 0.000 0.000 0.000
In1 0.000 0.000 0.401
In2 0.500 0.500 0.712
Cu1 0.500 0.500 0.197
```

Output
* size of the total moment: 0.000 μB per formula unit
* DFT formation energy: 0.10 eV per atom